No. 1
# GGA-PBE KCuSe2, relaxed
data_KCuSe2
_symmetry_space_group_name_H-M 'I -4 m 2'
_symmetry_Int_Tables_number 119
_symmetry_space_group_name_Hall 'I -4 -2'
_cell_length_a 4.251
_cell_length_b 4.251
_cell_length_c 9.943
_cell_angle_alpha 90.00
_cell_angle_beta 90.00
_cell_angle_gamma 90.00
loop_
_atom_site_label
_atom_site_fract_x
_atom_site_fract_y
_atom_site_fract_z
K1 0.000 0.000 0.000
Cu1 0.000 0.500 0.250
Se1 0.000 0.000 0.500
Se2 0.000 0.500 0.750
# Crystal system: tetragonal
# Energy relative to the elements, uncorrected (eV per atom): 0.125


No. 2
# GGA-PBE SrAg2H8Pd3, relaxed
data_SrAg2H8Pd3
_symmetry_space_group_name_H-M 'R 3 m'
_symmetry_Int_Tables_number 160
_symmetry_space_group_name_Hall 'R 3 -2"'
_cell_length_a 5.9815
_cell_length_b 5.9815
_cell_length_c 14.6101
_cell_angle_alpha 90.00
_cell_angle_beta 90.00
_cell_angle_gamma 120.00
loop_
_atom_site_label
_atom_site_fract_x
_atom_site_fract_y
_atom_site_fract_z
Sr1 0.0000 0.0000 0.0000
Ag1 0.0000 0.0000 0.3815
Ag2 0.0000 0.0000 0.7440
H1 0.0000 0.0000 0.1605
H2 0.0000 0.0000 0.6083
H3 0.0285 0.5143 0.1513
H4 0.2046 0.4092 0.9406
Pd1 0.1682 0.3365 0.2108
# Crystal system: trigonal


No. 3
# GGA-PBE NdDyMg, relaxed
data_NdDyMg
_symmetry_space_group_name_H-M 'C 1 m 1'
_symmetry_Int_Tables_number 8
_cell_length_a 17.232
_cell_length_b 3.808
_cell_length_c 5.504
_cell_angle_alpha 90.00
_cell_angle_beta 90.05
_cell_angle_gamma 90.00
loop_
_symmetry_equiv_pos_as_xyz
'x,y,z'
'x,-y,z'
'x+1/2,y+1/2,z'
'x+1/2,-y+1/2,z'
loop_
_atom_site_label
_atom_site_fract_x
_atom_site_fract_y
_atom_site_fract_z
Nd1 0.000 0.000 0.000
Nd2 0.046 0.500 0.500
Dy1 0.185 0.500 0.999
Dy2 0.361 0.500 0.498
Mg1 0.207 0.000 0.499
Mg2 0.339 0.000 0.997
# Crystal system: monoclinic
# E_form (eV per atom): -0.049
# Polymorph energy (0 for the lowest one) (eV per formula unit): 0.00


No. 4
# GGA-PBE ErPaSn6, relaxed
data_ErPaSn6
_symmetry_space_group_name_H-M 'P 4/m m m'
_symmetry_Int_Tables_number 123
_symmetry_space_group_name_Hall '-P 4 2'
_cell_length_a 4.661
_cell_length_b 4.661
_cell_length_c 9.368
_cell_angle_alpha 90.00
_cell_angle_beta 90.00
_cell_angle_gamma 90.00
loop_
_atom_site_label
_atom_site_fract_x
_atom_site_fract_y
_atom_site_fract_z
Er1 0.000 0.000 0.000
Pa1 0.000 0.000 0.500
Sn1 0.000 0.500 0.251
Sn2 0.500 0.500 0.000
Sn3 0.500 0.500 0.500
# Crystal system: tetragonal
# E_form (eV per atom): -0.330


No. 5
# GGA-PBE Sc2CoRe, relaxed
data_Sc2CoRe
_symmetry_space_group_name_H-M 'I m m 2'
_symmetry_Int_Tables_number 44
_cell_length_a 3.135
_cell_length_b 4.471
_cell_length_c 9.495
_cell_angle_alpha 90.00
_cell_angle_beta 90.00
_cell_angle_gamma 90.00
loop_
_symmetry_equiv_pos_as_xyz
'x,y,z'
'-x,-y,z'
'-x,y,z'
'x,-y,z'
'x+1/2,y+1/2,z+1/2'
'-x+1/2,-y+1/2,z+1/2'
'-x+1/2,y+1/2,z+1/2'
'x+1/2,-y+1/2,z+1/2'
loop_
_atom_site_label
_atom_site_fract_x
_atom_site_fract_y
_atom_site_fract_z
Sc1 0.000 0.000 0.000
Sc2 0.000 0.500 0.222
Co1 0.000 0.500 0.750
Re1 0.000 0.000 0.463
# Crystal system: orthorhombic
# E_form (eV per atom): -0.084


No. 6
# GGA-PBE Ti4HgN, relaxed
data_Ti4HgN
_symmetry_space_group_name_H-M 'P 1 21/c 1'
_symmetry_Int_Tables_number 14
_cell_length_a 7.785
_cell_length_b 4.716
_cell_length_c 6.175
_cell_angle_alpha 90.00
_cell_angle_beta 111.59
_cell_angle_gamma 90.00
loop_
_symmetry_equiv_pos_as_xyz
'x,y,z'
'-x,-y,-z'
'-x,y+1/2,-z+1/2'
'x,-y+1/2,z+1/2'
loop_
_atom_site_label
_atom_site_fract_x
_atom_site_fract_y
_atom_site_fract_z
Ti1 0.111 0.249 0.301
Ti2 0.218 0.736 0.606
Hg1 0.500 0.000 0.500
N1 0.000 0.000 0.500
# Crystal system: monoclinic
# Energy relative to the elements, uncorrected (eV per atom): -0.443
# Polymorph energy (0 for the lowest one) (eV per formula unit): 0.00


No. 7
# GGA-PBE Na2SrTl2Sb2, relaxed
data_Na2SrTl2Sb2
_symmetry_space_group_name_H-M 'R -3 m'
_symmetry_Int_Tables_number 166
_symmetry_space_group_name_Hall '-R 3 2"'
_cell_length_a 5.3750
_cell_length_b 5.3750
_cell_length_c 26.4382
_cell_angle_alpha 90.00
_cell_angle_beta 90.00
_cell_angle_gamma 120.00
loop_
_atom_site_label
_atom_site_fract_x
_atom_site_fract_y
_atom_site_fract_z
Na1 0.0000 0.0000 0.1403
Sr1 0.0000 0.0000 0.0000
Tl1 0.0000 0.0000 0.4340
Sb1 0.0000 0.0000 0.2618
# Crystal system: trigonal
# Energy relative to the elements, uncorrected (eV per atom): -0.365


No. 8
# GGA-PBE Sb2HRuI, relaxed
data_Sb2HRuI
_symmetry_space_group_name_H-M 'P 4/m m m'
_symmetry_Int_Tables_number 123
_symmetry_space_group_name_Hall '-P 4 2'
_cell_length_a 4.340
_cell_length_b 4.340
_cell_length_c 5.298
_cell_angle_alpha 90.00
_cell_angle_beta 90.00
_cell_angle_gamma 90.00
loop_
_atom_site_label
_atom_site_fract_x
_atom_site_fract_y
_atom_site_fract_z
Sb1 0.000 0.500 0.000
H1 0.000 0.000 0.000
Ru1 0.500 0.500 0.500
I1 0.000 0.000 0.500
# Crystal system: tetragonal
# Polymorph energy (0 for the lowest one) (eV per formula unit): 0.70


No. 9
# GGA-PBE U2FeCo3Ge4, relaxed
data_U2FeCo3Ge4
_symmetry_space_group_name_H-M 'P -4 m 2'
_symmetry_Int_Tables_number 115
_cell_length_a 4.024
_cell_length_b 4.024
_cell_length_c 9.515
_cell_angle_alpha 90.00
_cell_angle_beta 90.00
_cell_angle_gamma 90.00
loop_
_symmetry_equiv_pos_as_xyz
'x,y,z'
'y,-x,-z'
'-x,-y,z'
'-y,x,-z'
'-x,y,z'
'-y,-x,-z'
'x,-y,z'
'y,x,-z'
loop_
_atom_site_label
_atom_site_fract_x
_atom_site_fract_y
_atom_site_fract_z
U1 0.000 0.500 0.243
Fe1 0.500 0.500 0.000
Co1 0.000 0.000 0.000
Co2 0.000 0.500 0.629
Ge1 0.000 0.000 0.500
Ge2 0.000 0.500 0.869
Ge3 0.500 0.500 0.500
# Crystal system: tetragonal
# E_form (eV per atom): -0.328


No. 10
# GGA-PBE Y2ZnNi, relaxed
data_Y2ZnNi
_symmetry_space_group_name_H-M 'C 1 2/m 1'
_symmetry_Int_Tables_number 12
_cell_length_a 6.777
_cell_length_b 3.904
_cell_length_c 7.610
_cell_angle_alpha 90.00
_cell_angle_beta 107.24
_cell_angle_gamma 90.00
loop_
_symmetry_equiv_pos_as_xyz
'x,y,z'
'-x,-y,-z'
'-x,y,-z'
'x,-y,z'
'x+1/2,y+1/2,z'
'-x+1/2,-y+1/2,-z'
'-x+1/2,y+1/2,-z'
'x+1/2,-y+1/2,z'
loop_
_atom_site_label
_atom_site_fract_x
_atom_site_fract_y
_atom_site_fract_z
Y1 0.238 0.000 0.215
Zn1 0.000 0.000 0.500
Ni1 0.000 0.500 0.000
# Crystal system: monoclinic
# E_form (eV per atom): -0.191


No. 11
# GGA-PBE HfTi5Br12, relaxed
data_HfTi5Br12
_symmetry_space_group_name_H-M 'C 1 2/m 1'
_symmetry_Int_Tables_number 12
_cell_length_a 6.054
_cell_length_b 11.044
_cell_length_c 14.582
_cell_angle_alpha 90.00
_cell_angle_beta 90.36
_cell_angle_gamma 90.00
loop_
_symmetry_equiv_pos_as_xyz
'x,y,z'
'-x,-y,-z'
'-x,y,-z'
'x,-y,z'
'x+1/2,y+1/2,z'
'-x+1/2,-y+1/2,-z'
'-x+1/2,y+1/2,-z'
'x+1/2,-y+1/2,z'
loop_
_atom_site_label
_atom_site_fract_x
_atom_site_fract_y
_atom_site_fract_z
Hf1 0.000 0.000 0.000
Ti1 0.000 0.127 0.500
Ti2 0.000 0.377 0.000
Ti3 0.000 0.500 0.500
Br1 0.163 0.328 0.394
Br2 0.170 0.174 0.109
Br3 0.174 0.000 0.374
Br4 0.174 0.500 0.130
# Crystal system: monoclinic
# Energy relative to the elements, uncorrected (eV per atom): -1.068


No. 12
# GGA-PBE Ce2DyHoBi5, relaxed
data_Ce2DyHoBi5
_symmetry_space_group_name_H-M 'P 4/m m m'
_symmetry_Int_Tables_number 123
_symmetry_space_group_name_Hall '-P 4 2'
_cell_length_a 5.442
_cell_length_b 5.442
_cell_length_c 11.835
_cell_angle_alpha 90.00
_cell_angle_beta 90.00
_cell_angle_gamma 90.00
loop_
_atom_site_label
_atom_site_fract_x
_atom_site_fract_y
_atom_site_fract_z
Ce1 0.000 0.000 0.216
Dy1 0.500 0.500 0.500
Ho1 0.500 0.500 0.000
Bi1 0.000 0.000 0.500
Bi2 0.000 0.500 0.000
Bi3 0.500 0.500 0.253
# Crystal system: tetragonal
# E_form (eV per atom): -0.108


The evaluated uncorrected energy for the records listed, in turn: -2.916 -3.619 -3.704 -5.089 -8.139 -7.144 -2.836 -3.580 -7.411 -5.187 -4.929 -4.603 eV per atom.
The evaluated DOS(E_F) for the records listed, in turn: 3.5 1.5 3.0 6.4 3.1 6.2 2.1 4.8 11.3 3.4 8.2 17.7 states/eV/f.u..